Record 1
! Li8SiAu2 (PBE-GGA, optimized geometry); values from VASP
&SYSTEM
  ibrav = 0, nat = 11, ntyp = 3
/
ATOMIC_SPECIES
Li 6.94 Li.upf
Au 196.97 Au.upf
Si 28.09 Si.upf
ATOMIC_POSITIONS angstrom
Li 0.0000 1.4437 4.3502
Li 0.0000 -1.2775 3.8719
Li 2.2134 -1.0741 5.4856
Li 0.0000 0.3645 1.6074
Li 2.2134 3.3167 4.0180
Li 2.2134 4.9587 1.7535
Li 2.2134 2.2376 1.2752
Li 0.0000 4.7553 0.1398
Au 2.2134 0.4719 3.2851
Au 0.0000 3.2093 2.3403
Si 2.2134 0.0000 0.0000
CELL_PARAMETERS angstrom
4.4267 0.0000 0.0000
0.0000 6.7432 -0.1862
-2.2134 -3.0620 5.8116
! SG	C2/m (12)
! energy relative to the lowest polymorph listed for this composition	0.0	meV/atom

---

Record 2
! Li2SiAu (PBE-GGA, optimized geometry); values from VASP
&SYSTEM
  ibrav = 0, nat = 4, ntyp = 3
/
ATOMIC_SPECIES
Li 6.94 Li.upf
Si 28.09 Si.upf
Au 196.97 Au.upf
ATOMIC_POSITIONS angstrom
Li -1.9282 -12.6562 -3.4820
Li -3.8302 -25.1400 -6.9166
Si -0.9597 -6.2994 -1.7331
Au -2.8792 -18.8981 -5.1993
CELL_PARAMETERS angstrom
-2.4448 -8.5382 -1.1600
-1.6794 -7.9199 -3.8313
0.2853 -8.7393 -1.9411
! SG	R-3m (166)

---

Record 3
! Li6SiAu3 (PBE-GGA, optimized geometry); values from VASP
&SYSTEM
  ibrav = 0, nat = 20, ntyp = 3
/
ATOMIC_SPECIES
Si 28.09 Si.upf
Li 6.94 Li.upf
Au 196.97 Au.upf
ATOMIC_POSITIONS angstrom
Si 3.4662 4.2798 5.5151
Si 1.1554 2.4427 1.7291
Li 1.1554 5.8180 5.3814
Li 1.1554 0.4762 3.5211
Li 1.1554 5.1427 2.4787
Li 3.4662 3.5157 2.7739
Li 1.1554 3.2067 4.4704
Li 1.1554 3.9719 7.1822
Li 3.4662 1.5798 4.7656
Li 3.4662 6.2462 3.7232
Li 1.1554 1.8502 8.9511
Li 3.4662 2.7505 0.0620
Li 3.4662 4.8723 -1.7069
Li 3.4662 0.9044 1.8628
Au 1.1554 4.2579 -0.0715
Au 3.4662 0.1852 9.0621
Au 1.1554 1.1176 6.1850
Au 1.1554 6.5372 -1.8178
Au 3.4662 2.4645 7.3157
Au 3.4662 5.6048 1.0592
CELL_PARAMETERS angstrom
4.6217 0.0000 0.0000
0.0000 6.5906 -2.7628
0.0000 0.1319 10.0071
! SG	P2_1/m (11)

---

In order of appearance, V = 15.541 15.448 15.325 Å³ per atom.
In order of appearance, formation energy (no corrections) = -337 -192 -423 meV per atom.
In order of appearance, DFT total energy = -2.82 -3.32 -3.10 eV/atom.